# In4Hg12I

A relaxed In4Hg12I crystal (PBE-GGA, the Alexandria database).

- Total energy: -16.33 eV for the cell shown
- Formation energy without anion corrections: -0.01 eV per atom

Lattice parameters (Å, degrees): 9.591 9.172 6.675 85.52 103.45 117.05
Fractional coordinates of all 17 atoms:
In1 0.000 0.500 0.000
In2 0.000 0.000 0.500
In3 0.500 0.000 0.000
In4 0.500 0.500 0.500
Hg1 0.738 0.215 0.706
Hg2 0.824 0.215 0.276
Hg3 0.311 0.470 0.032
Hg4 0.153 0.434 0.545
Hg5 0.689 0.530 0.968
Hg6 0.176 0.785 0.724
Hg7 0.655 0.791 0.224
Hg8 0.345 0.209 0.776
Hg9 0.847 0.566 0.455
Hg10 0.433 0.174 0.317
Hg11 0.567 0.826 0.683
Hg12 0.262 0.785 0.294
I1 0.000 0.000 0.000

---

# NdDy2Ni

A relaxed NdDy2Ni crystal (PBE-GGA, the Alexandria database).

- Energy relative to the lowest polymorph listed for this composition: 0.030 eV/atom
- Total energy: -41.04 eV for the cell shown
- DFT formation energy: -192 meV per atom

Lattice parameters (Å, degrees): 4.837 6.434 7.336 90.00 90.00 112.05
Fractional coordinates of all 8 atoms:
Nd1 0.962 0.925 0.250
Nd2 0.038 0.075 0.750
Dy1 0.346 0.692 0.529
Dy2 0.654 0.308 0.471
Dy3 0.346 0.692 0.971
Dy4 0.654 0.308 0.029
Ni1 0.805 0.610 0.750
Ni2 0.195 0.390 0.250

---

no.,magnetic moment (μB per atom)
1,0.0000
2,0.0000